Density functional theory data (PBE) for an optimized crystal structure of HfAsIr2Ru.

* E_tot: -7.341 eV/atom
* DOS at the Fermi energy: 5.470 states/eV/f.u.
* mass density: 12.0 g cm⁻³

```
data_HfAsIr2Ru
_cell_length_a 4.7310
_cell_length_b 4.7310
_cell_length_c 4.5503
_cell_angle_alpha 90.00
_cell_angle_beta 90.00
_cell_angle_gamma 90.00
_space_group_name_H-M_alt 'P 4/m m m'
_space_group_IT_number 123
_space_group_name_Hall '-P 4 2'
loop_
_atom_site_label
_atom_site_type_symbol
_atom_site_fract_x
_atom_site_fract_y
_atom_site_fract_z
_atom_site_occupancy
Hf1 Hf 0.0000 0.0000 0.0000 1
As1 As 0.5000 0.5000 0.0000 1
Ir1 Ir 0.0000 0.5000 0.5000 1
Ru1 Ru 0.5000 0.5000 0.5000 1
```

Density functional theory data (PBE) for an optimized crystal structure of Hg3I.

* E_tot: -0.639 eV/atom
* DOS at the Fermi energy: 2.004 states/eV/f.u.
* energy relative to the lowest polymorph listed for this composition: 0.078 eV per atom
* formation energy without anion corrections: -0.0251 eV/atom
* mass density: 8.9 g cm⁻³

```
data_Hg3I
_cell_length_a 4.3478
_cell_length_b 4.6309
_cell_length_c 13.4356
_cell_angle_alpha 90.00
_cell_angle_beta 90.00
_cell_angle_gamma 90.00
_space_group_name_H-M_alt 'I m m m'
_space_group_IT_number 71
_space_group_name_Hall '-I 2 2'
loop_
_atom_site_label
_atom_site_type_symbol
_atom_site_fract_x
_atom_site_fract_y
_atom_site_fract_z
_atom_site_occupancy
Hg1 Hg 0.0000 0.0000 0.0000 1
Hg2 Hg 0.0000 0.5000 0.2557 1
I1 I 0.0000 0.0000 0.5000 1
```

Density functional theory data (PBE) for an optimized crystal structure of Tb3PmSm6Tm2.

* E_tot: -4.643 eV/atom
* DOS at the Fermi energy: 14.776 states/eV/f.u.
* mass density: 7.9 g cm⁻³

```
data_Tb3PmSm6Tm2
_cell_length_a 6.2226
_cell_length_b 10.7727
_cell_length_c 11.8678
_cell_angle_alpha 90.00
_cell_angle_beta 100.04
_cell_angle_gamma 90.00
_space_group_name_H-M_alt 'C 1 2/m 1'
_space_group_IT_number 12
loop_
_space_group_symop_operation_xyz
'x,y,z'
'-x,-y,-z'
'-x,y,-z'
'x,-y,z'
'x+1/2,y+1/2,z'
'-x+1/2,-y+1/2,-z'
'-x+1/2,y+1/2,-z'
'x+1/2,-y+1/2,z'
loop_
_atom_site_label
_atom_site_type_symbol
_atom_site_fract_x
_atom_site_fract_y
_atom_site_fract_z
_atom_site_occupancy
Tb1 Tb 0.0000 0.0000 0.0000 1
Tb2 Tb 0.0000 0.3330 0.0000 1
Pm1 Pm 0.0000 0.5000 0.5000 1
Sm1 Sm 0.2491 0.1671 0.2504 1
Sm2 Sm 0.2496 0.0000 0.7495 1
Tm1 Tm 0.0000 0.1666 0.5000 1
```

Density functional theory data (PBE) for an optimized crystal structure of BiPIr2.

* E_tot: -6.700 eV/atom
* DOS at the Fermi energy: 2.096 states/eV/f.u.
* mass density: 11.7 g cm⁻³

```
data_BiPIr2
_cell_length_a 5.2820
_cell_length_b 5.2820
_cell_length_c 12.7198
_cell_angle_alpha 90.00
_cell_angle_beta 90.00
_cell_angle_gamma 90.00
_space_group_name_H-M_alt 'I -4 2 d'
_space_group_IT_number 122
_space_group_name_Hall 'I -4 2bw'
loop_
_atom_site_label
_atom_site_type_symbol
_atom_site_fract_x
_atom_site_fract_y
_atom_site_fract_z
_atom_site_occupancy
Bi1 Bi 0.0000 0.0000 0.0000 1
P1 P 0.0000 0.0000 0.5000 1
Ir1 Ir 0.1695 0.2500 0.6250 1
```